Model one:
Below is crystalline FeGeI2O at its relaxed geometry, with properties calculated at the PBE+U level.

Structure (POSCAR):
```
FeGeI2O
1.0
-1.702 -5.288 -1.197
5.234 -1.930 1.083
-0.926 -0.510 3.567
Ge Fe O I
1 1 1 2
Direct
0.500 0.500 0.500
0.000 0.000 0.000
0.000 0.000 0.500
0.000 0.500 0.000
0.500 0.000 0.000
```

Calculated values
symmetry	P4/mmm



Model two:
Below is crystalline FeGeI2O at its relaxed geometry, with properties calculated at the PBE+U level.

Structure (POSCAR):
```
FeGeI2O
1.0
5.905 0.000 0.000
0.000 5.905 0.000
0.000 0.000 3.780
Fe Ge I O
1 1 2 1
Direct
0.500 0.500 0.500
0.000 0.000 0.000
0.000 0.500 0.000
0.500 0.000 0.000
0.000 0.000 0.500
```

Calculated values
symmetry	P4/mmm



Sorted by energy, starting with the most stable: model one, model two.